Entry from Alexandria: a geometry-optimized PmCuS2O8 structure (PBE-GGA).

- E_form (uncorrected): -1.6220 eV/atom

Unit cell a=4.8456 b=4.8456 c=20.8715 alpha=90.00 beta=90.00 gamma=120.00
Space group R-3 (No. 148, hexagonal axes)
Symmetry-distinct sites (fractional):
Pm1 0.0000 0.0000 0.0000 x3
Cu1 0.0000 0.0000 0.5000 x3
S1 0.0000 0.0000 0.2547 x6
O1 0.0000 0.0000 0.3278 x6
O2 0.0217 0.3947 0.4322 x18

Entry from Alexandria: a geometry-optimized SrPu4Se5 structure (PBE-GGA).

- D(E_F): 40.09 states/eV/f.u.
- E_form (uncorrected): -1.5934 eV/atom

Unit cell a=4.210 b=4.210 c=29.845 alpha=90.00 beta=90.00 gamma=90.00
Space group I4/mmm (No. 139)
Symmetry-distinct sites (fractional):
Sr1 0.000 0.000 0.000 x2
Pu1 0.000 0.000 0.201 x4
Pu2 0.000 0.000 0.398 x4
Se1 0.000 0.000 0.103 x4
Se2 0.000 0.000 0.300 x4
Se3 0.000 0.000 0.500 x2

Entry from Alexandria: a geometry-optimized Pm3TmSn3 structure (PBE-GGA).

- D(E_F): 8.38 states/eV/f.u.
- Energy of formation from the pure elements: -563.6 meV/atom

Unit cell a=9.2384 b=9.2384 c=18.5535 alpha=90.00 beta=90.00 gamma=120.00
Space group R-3 (No. 148, hexagonal axes)
Symmetry-distinct sites (fractional):
Pm1 0.0076 0.7456 0.0911 x18
Tm1 0.0000 0.0000 0.3325 x6
Sn1 0.0025 0.6098 0.9267 x18

Entry from Alexandria: a geometry-optimized Cs2Ac2SbO6 structure (PBE-GGA).

- D(E_F): 5.67 states/eV/f.u.
- E_form (uncorrected): -2.1443 eV/atom

Unit cell a=6.481 b=11.077 c=7.351 alpha=90.00 beta=103.94 gamma=90.00
Space group C2/m (No. 12)
Symmetry-distinct sites (fractional):
Cs1 0.000 0.162 0.000 x4
Ac1 0.000 0.336 0.500 x4
Sb1 0.000 0.000 0.500 x2
O1 0.191 0.151 0.656 x8
O2 0.239 0.000 0.335 x4

Entry from Alexandria: a geometry-optimized Pr3Ta5N12 structure (PBE-GGA).

- D(E_F): 16.59 states/eV/f.u.
- E_form (uncorrected): -1.0566 eV/atom

Unit cell a=13.218 b=13.218 c=13.218 alpha=90.00 beta=90.00 gamma=90.00
Space group Ia-3d (No. 230)
Symmetry-distinct sites (fractional):
Pr1 0.000 0.250 0.125 x24
Ta1 0.000 0.000 0.000 x16
Ta2 0.000 0.250 0.375 x24
N1 0.031 0.050 0.648 x96

Entry from Alexandria: a geometry-optimized SrFeIr3 structure (PBE-GGA).

- D(E_F): 4.78 states/eV/f.u.
- Energy of formation from the pure elements: 705.3 meV/atom

Unit cell a=4.632 b=4.632 c=4.632 alpha=90.00 beta=90.00 gamma=90.00
Space group Pm-3m (No. 221)
Symmetry-distinct sites (fractional):
Sr1 0.000 0.000 0.000 x1
Fe1 0.500 0.500 0.500 x1
Ir1 0.000 0.500 0.500 x3

Entry from Alexandria: a geometry-optimized LuScGaHg structure (PBE-GGA).

- D(E_F): 3.99 states/eV/f.u.
- Energy of formation from the pure elements: -480.4 meV/atom

Unit cell a=7.046 b=7.046 c=7.046 alpha=90.00 beta=90.00 gamma=90.00
Space group F-43m (No. 216)
Symmetry-distinct sites (fractional):
Lu1 0.000 0.000 0.000 x4
Sc1 0.000 0.000 0.500 x4
Ga1 0.250 0.250 0.750 x4
Hg1 0.250 0.250 0.250 x4

Entry from Alexandria: a geometry-optimized SmSc2ZnHg4 structure (PBE-GGA).

- D(E_F): 5.76 states/eV/f.u.
- Energy of formation from the pure elements: -313.5 meV/atom

Unit cell a=4.8773 b=4.8773 c=26.6626 alpha=90.00 beta=90.00 gamma=120.00
Space group R-3m (No. 166, hexagonal axes)
Symmetry-distinct sites (fractional):
Sm1 0.0000 0.0000 0.0000 x3
Sc1 0.0000 0.0000 0.2380 x6
Zn1 0.0000 0.0000 0.5000 x3
Hg1 0.0000 0.0000 0.1254 x6
Hg2 0.0000 0.0000 0.3865 x6

Number 1: electronic total energy -6.35 eV per atom. Number 2: electronic total energy -9.24 eV per atom. Number 3: electronic total energy -4.95 eV per atom. Number 4: electronic total energy -6.13 eV per atom. Number 5: electronic total energy -9.73 eV per atom. Number 6: electronic total energy -6.64 eV per atom. Number 7: electronic total energy -4.03 eV per atom. Number 8: electronic total energy -2.80 eV per atom.